(1)
A relaxed structure of EuGdY2, computed with PBE-GGA.

Calculated values
energy above the lowest structure with this stoichiometry	0.0000	eV/atom

Cell lengths 3.645, 3.645, 10.280 Å; angles 90.00, 90.00, 90.00 degrees
Sites, in units of the cell vectors:
Eu 0.000 0.000 0.000
Gd 0.000 0.000 0.500
Y 0.500 0.500 0.265
Y 0.500 0.500 0.735

---

(2)
A relaxed structure of Eu2GdY, computed with PBE-GGA.

Cell lengths 8.304, 8.304, 8.304 Å; angles 90.00, 90.00, 90.00 degrees
Sites, in units of the cell vectors:
Eu 0.250 0.250 0.250
Eu 0.250 0.250 0.750
Eu 0.250 0.750 0.250
Eu 0.250 0.750 0.750
Eu 0.750 0.250 0.250
Eu 0.750 0.250 0.750
Eu 0.750 0.750 0.250
Eu 0.750 0.750 0.750
Gd 0.000 0.000 0.000
Gd 0.000 0.500 0.500
Gd 0.500 0.000 0.500
Gd 0.500 0.500 0.000
Y 0.000 0.000 0.500
Y 0.000 0.500 0.000
Y 0.500 0.000 0.000
Y 0.500 0.500 0.500

---

(3)
A relaxed structure of EuGd2Zn, computed with PBE-GGA.

Calculated values
energy above the lowest structure with this stoichiometry	0.0000	eV/atom

Cell lengths 4.905, 4.905, 4.762 Å; angles 90.00, 90.00, 90.00 degrees
Sites, in units of the cell vectors:
Eu 0.000 0.000 0.000
Gd 0.000 0.500 0.500
Gd 0.500 0.000 0.500
Zn 0.500 0.500 0.000

---

(4)
A relaxed structure of EuGdZn4, computed with PBE-GGA.

Cell lengths 5.571, 5.571, 5.571 Å; angles 60.00, 60.00, 60.00 degrees
Sites, in units of the cell vectors:
Eu 0.000 0.000 0.000
Gd 0.750 0.750 0.750
Zn 0.375 0.375 0.375
Zn 0.375 0.375 0.874
Zn 0.375 0.874 0.375
Zn 0.874 0.375 0.375

---

(5)
A relaxed structure of EuGdZn, computed with PBE-GGA.

Cell lengths 5.109, 5.109, 3.805 Å; angles 90.00, 90.00, 120.00 degrees
Sites, in units of the cell vectors:
Eu 0.000 0.000 0.000
Gd 0.333 0.667 0.548
Zn 0.667 0.333 0.344

---

(6)
A relaxed structure of EuGd2Zn, computed with PBE-GGA.

Calculated values
energy above the lowest structure with this stoichiometry	0.0586	eV/atom

Cell lengths 7.675, 7.675, 7.675 Å; angles 90.00, 90.00, 90.00 degrees
Sites, in units of the cell vectors:
Eu 0.000 0.000 0.000
Eu 0.000 0.500 0.500
Eu 0.500 0.000 0.500
Eu 0.500 0.500 0.000
Gd 0.250 0.250 0.250
Gd 0.250 0.250 0.750
Gd 0.250 0.750 0.250
Gd 0.250 0.750 0.750
Gd 0.750 0.250 0.250
Gd 0.750 0.250 0.750
Gd 0.750 0.750 0.250
Gd 0.750 0.750 0.750
Zn 0.000 0.000 0.500
Zn 0.000 0.500 0.000
Zn 0.500 0.000 0.000
Zn 0.500 0.500 0.500

---

(7)
A relaxed structure of EuGdZr, computed with PBE-GGA.

Cell lengths 3.162, 3.162, 18.334 Å; angles 90.00, 90.00, 90.00 degrees
Sites, in units of the cell vectors:
Eu 0.000 0.000 0.000
Eu 0.500 0.500 0.500
Gd 0.000 0.000 0.663
Gd 0.500 0.500 0.163
Zr 0.000 0.000 0.827
Zr 0.500 0.500 0.327

---

(8)
A relaxed structure of EuGe2, computed with PBE-GGA.

Cell lengths 3.571, 3.571, 10.780 Å; angles 90.00, 90.00, 90.00 degrees
Sites, in units of the cell vectors:
Eu 0.000 0.000 0.000
Eu 0.500 0.500 0.500
Ge 0.000 0.000 0.300
Ge 0.000 0.000 0.700
Ge 0.500 0.500 0.200
Ge 0.500 0.500 0.800

---

no.,energy (eV per atom),DFT formation energy (kcal/mol of atoms)
1,-9.250,1.64
2,-10.123,3.46
3,-9.923,0.10
4,-5.186,-6.39
5,-8.543,-0.01
6,-9.865,1.45
7,-10.305,15.28
8,-6.857,-8.16